[1]
Entry from the Alexandria database: Rb2Li2PbI6 after structural relaxation (PBE).

* VASP energy: -2.82 eV per atom
* DOS(E_F): 0.000 states/eV/atom

```
Rb2Li2PbI6
1.0
7.2644 -4.3814 0.0000
7.2644 4.3814 0.0000
-4.0916 0.0000 8.1349
Rb Li Pb I
2 2 1 6
Cartesian
2.4062 0.0000 1.3413 Rb
8.0310 0.0000 6.7936 Rb
3.4779 0.0000 5.9518 Li
6.9592 0.0000 2.1831 Li
-2.0458 0.0000 4.0674 Pb
5.5503 2.2062 1.6305 I
1.1196 0.0000 4.7395 I
4.8868 2.2062 6.5044 I
5.5503 -2.2062 1.6305 I
9.3175 0.0000 3.3954 I
4.8868 -2.2062 6.5044 I
```

=====

[2]
Entry from the Alexandria database: RbLiPb2I6 after structural relaxation (PBE).

* VASP energy: -2.85 eV per atom
* DOS(E_F): 0.000 states/eV/atom

```
RbLiPb2I6
1.0
4.1445 2.3928 7.4945
-4.1445 2.3928 7.4945
0.0000 -4.7857 7.4945
Rb Li Pb I
1 1 2 6
Cartesian
0.0000 0.0000 0.0000 Rb
0.0000 0.0000 10.5866 Li
0.0000 0.0000 6.4727 Pb
0.0000 0.0000 18.0523 Pb
-2.3456 -0.3890 8.8316 I
-1.3911 -2.3594 12.3989 I
1.5097 -1.8369 8.8316 I
-1.3477 2.3844 12.3989 I
0.8359 2.2259 8.8316 I
2.7388 -0.0251 12.3989 I
```

=====

[3]
Entry from the Alexandria database: LiSb2PbI after structural relaxation (PBE).

* DOS(E_F): 0.635 states/eV/atom
* energy above the most stable polymorph in this dataset: 0.000 eV/atom

```
LiSb2PbI
1.0
5.0636 0.0000 0.0000
0.0000 5.0636 0.0000
0.0000 0.0000 5.7494
Li Sb Pb I
1 2 1 1
Cartesian
0.0000 0.0000 0.0000 Li
0.0000 2.5318 0.0000 Sb
2.5318 0.0000 0.0000 Sb
2.5318 2.5318 2.8747 Pb
0.0000 0.0000 2.8747 I
```

=====

[4]
Entry from the Alexandria database: LiSb2PbI after structural relaxation (PBE).

* DOS(E_F): 0.882 states/eV/atom
* energy above the most stable polymorph in this dataset: 0.260 eV/atom

```
LiSb2PbI
1.0
5.8761 0.0000 0.0000
0.0000 5.8761 0.0000
0.0000 0.0000 6.4668
Li Sb Pb I
1 2 1 1
Cartesian
0.0000 0.0000 0.0000 Li
0.0000 2.9380 3.2334 Sb
2.9380 0.0000 3.2334 Sb
2.9380 2.9380 3.2334 Pb
2.9380 2.9380 0.0000 I
```

=====

[5]
Entry from the Alexandria database: LiPbSeI after structural relaxation (PBE).

* VASP energy: -3.50 eV per atom
* DOS(E_F): 0.000 states/eV/atom

```
LiPbSeI
1.0
2.1488 1.2406 7.2947
-2.1488 1.2406 7.2947
0.0000 -2.4812 7.2947
Li Pb Se I
1 1 1 1
Cartesian
0.0000 0.0000 0.0000 Li
0.0000 0.0000 10.4296 Pb
0.0000 0.0000 16.1208 Se
0.0000 0.0000 5.6104 I
```

=====

[6]
Entry from the Alexandria database: LiSnPbI5 after structural relaxation (PBE).

* VASP energy: -2.81 eV per atom
* DOS(E_F): 0.000 states/eV/atom

```
LiSnPbI5
1.0
5.0779 -6.6601 0.0000
5.0779 6.6601 0.0000
-4.8421 0.0000 10.4028
Li Sn Pb I
2 2 2 10
Cartesian
1.4463 5.7504 7.8021 Li
3.8674 -5.7504 2.6007 Li
1.4463 1.5896 7.8021 Sn
3.8674 -1.5896 2.6007 Sn
2.5389 3.3300 0.0000 Pb
0.1179 -3.3300 5.2014 Pb
1.9996 3.9232 5.7972 I
-1.5844 0.7644 8.5871 I
0.8931 3.9232 9.8070 I
0.8367 -0.7644 3.3857 I
3.8674 1.8211 2.6007 I
1.4463 -1.8211 7.8021 I
4.4770 0.7644 7.0171 I
4.4206 -3.9232 0.5958 I
6.8981 -0.7644 1.8157 I
3.3141 -3.9232 4.6056 I
```

=====

[7]
Entry from the Alexandria database: Li2SnPbI6 after structural relaxation (PBE).

* VASP energy: -2.88 eV per atom
* DOS(E_F): 0.000 states/eV/atom

```
Li2SnPbI6
1.0
3.9239 2.2655 7.0933
-3.9239 2.2655 7.0933
0.0000 -4.5310 7.0933
Li Sn Pb I
2 1 1 6
Cartesian
0.0000 0.0000 0.0000 Li
0.0000 0.0000 10.5562 Li
0.0000 0.0000 14.5234 Sn
0.0000 0.0000 3.9344 Pb
-1.0173 -2.2972 8.9582 I
-2.4094 -0.2649 12.5306 I
-1.4807 2.0296 8.9582 I
1.4341 -1.9541 12.5306 I
2.4981 0.2675 8.9582 I
0.9753 2.2190 12.5306 I
```

=====

[8]
Entry from the Alexandria database: SrLi2PbI6 after structural relaxation (PBE).

* VASP energy: -3.00 eV per atom
* DOS(E_F): 0.000 states/eV/atom

```
SrLi2PbI6
1.0
3.9607 2.2867 7.1222
-3.9607 2.2867 7.1222
0.0000 -4.5734 7.1222
Sr Li Pb I
1 2 1 6
Cartesian
0.0000 0.0000 0.0000 Sr
0.0000 0.0000 6.4899 Li
0.0000 0.0000 17.2773 Li
0.0000 0.0000 10.6089 Pb
-2.4362 -0.2947 8.4842 I
-1.5056 -2.5481 12.0266 I
1.4733 -1.9624 8.4842 I
-1.4540 2.5779 12.0266 I
0.9629 2.2572 8.4842 I
2.9595 -0.0298 12.0266 I
```

=====

[9]
Entry from the Alexandria database: LiTbPbI6 after structural relaxation (PBE).

* VASP energy: -3.24 eV per atom
* DOS(E_F): 0.000 states/eV/atom

```
LiTbPbI6
1.0
7.7187 0.0000 0.0000
-3.8594 6.6846 0.0000
0.0000 0.0000 14.1633
Li Tb Pb I
2 2 2 12
Cartesian
0.0000 4.4564 3.5408 Li
3.8594 2.2282 10.6225 Li
0.0000 4.4564 10.6225 Tb
3.8594 2.2282 3.5408 Tb
0.0000 0.0000 0.0000 Pb
0.0000 0.0000 7.0817 Pb
-1.3393 2.3758 1.8240 I
-2.4715 4.3369 5.2577 I
1.3393 2.3758 5.2577 I
-1.1322 6.6566 1.8240 I
2.7272 0.0281 8.9056 I
1.3879 2.3477 12.3394 I
2.4715 4.3369 1.8240 I
1.1322 6.6566 5.2577 I
4.9916 0.0281 12.3394 I
2.5201 4.3088 8.9056 I
6.3309 2.3477 8.9056 I
5.1986 4.3088 12.3394 I
```

=====

[10]
Entry from the Alexandria database: LiTePbI after structural relaxation (PBE).

* DOS(E_F): 0.019 states/eV/atom
* energy above the most stable polymorph in this dataset: 0.259 eV/atom

```
LiTePbI
1.0
0.0000 3.9531 3.9531
3.9531 0.0000 3.9531
3.9531 3.9531 0.0000
Li Te Pb I
1 1 1 1
Cartesian
0.0000 0.0000 0.0000 Li
5.9297 5.9297 5.9297 Te
3.9531 3.9531 3.9531 Pb
1.9766 1.9766 1.9766 I
```

=====

[11]
Entry from the Alexandria database: LiTePbI2 after structural relaxation (PBE).

* DOS(E_F): 0.704 states/eV/atom
* energy above the most stable polymorph in this dataset: 0.000 eV/atom

```
LiTePbI2
1.0
5.4186 0.0000 0.0000
0.0000 5.4186 0.0000
0.0000 0.0000 5.4525
Li Te Pb I
1 1 1 2
Cartesian
0.0000 0.0000 0.0000 Li
0.0000 0.0000 2.7262 Te
2.7093 2.7093 2.7262 Pb
0.0000 2.7093 0.0000 I
2.7093 0.0000 0.0000 I
```

=====

[12]
Entry from the Alexandria database: LiTePbI after structural relaxation (PBE).

* DOS(E_F): 0.000 states/eV/atom
* energy above the most stable polymorph in this dataset: 0.000 eV/atom

```
LiTePbI
1.0
2.2309 1.2880 7.5874
-2.2309 1.2880 7.5874
0.0000 -2.5760 7.5874
Li Te Pb I
1 1 1 1
Cartesian
0.0000 0.0000 0.0000 Li
0.0000 0.0000 17.0412 Te
0.0000 0.0000 11.1880 Pb
0.0000 0.0000 6.1138 I
```